No. 1
The following is a meta-GGA SCAN calculation of MnNbF3 at its PBEsol-relaxed geometry, from the Alexandria database.

Summary:
**E_form (uncorrected)**: -1.682 eV per atom
**SG**: Pm-3m

a = 4.2784 Å, b = 4.2784 Å, c = 4.2784 Å
α = 90.00°, β = 90.00°, γ = 90.00°
With the nearest neighbours (Å) after each atom.
Fractional coordinates of all 5 atoms:
Mn: 0.5000 0.5000 0.5000  12 F 3.03
F: 0.0000 0.0000 0.5000  2 Nb 2.14
F: 0.5000 0.0000 0.0000  2 Nb 2.14
F: 0.0000 0.5000 0.0000  2 Nb 2.14
Nb: 0.0000 0.0000 0.0000  6 F 2.14

***

No. 2
The following is a meta-GGA SCAN calculation of ScCd2Ru at its PBEsol-relaxed geometry, from the Alexandria database.

Summary:
**DFT formation energy**: -0.23 eV per atom
**SG**: P4mm

a = 3.2997 Å, b = 3.2997 Å, c = 6.7005 Å
α = 90.00°, β = 90.00°, γ = 90.00°
With the nearest neighbours (Å) after each atom.
Fractional coordinates of all 4 atoms:
Ru: 0.0000 0.0000 0.5198  4 Sc 2.65, 4 Cd 2.88
Sc: 0.5000 0.5000 0.7079  4 Ru 2.65, 1 Cd 2.94
Cd: 0.5000 0.5000 0.2690  4 Ru 2.88, 4 Cd 2.93, 1 Sc 2.94
Cd: 0.0000 0.0000 0.0034  4 Cd 2.93, 4 Sc 3.06, 1 Ru 3.24

***

No. 3
The following is a meta-GGA SCAN calculation of La2HfTiZn at its PBEsol-relaxed geometry, from the Alexandria database.

Summary:
**DFT formation energy**: 0.87 eV per atom
**SG**: P4/mmm

a = 5.0250 Å, b = 5.5294 Å, c = 5.5294 Å
α = 90.00°, β = 90.00°, γ = 90.00°
With the nearest neighbours (Å) after each atom.
Fractional coordinates of all 5 atoms:
Zn: 0.5000 0.0000 0.0000  2 Hf 2.51
Hf: 0.0000 0.0000 0.0000  2 Zn 2.51, 4 La 2.76
La: 0.0000 0.5000 0.0000  2 Hf 2.76
Ti: 0.5000 0.5000 0.5000  8 La 3.74, 4 Zn 3.91
La: 0.0000 0.0000 0.5000  2 Hf 2.76

***

No. 4
The following is a meta-GGA SCAN calculation of LaOsBr2 at its PBEsol-relaxed geometry, from the Alexandria database.

Summary:
**E_form (uncorrected)**: -0.151 eV per atom
**SG**: Cmmm

a = 4.2764 Å, b = 4.6976 Å, c = 4.6976 Å
α = 99.44°, β = 90.00°, γ = 90.00°
With the nearest neighbours (Å) after each atom.
Fractional coordinates of all 4 atoms:
Br: 0.0000 0.2077 0.7923  2 Os 2.61
Os: 0.5000 0.0000 0.0000  4 Br 2.61
La: 0.5000 0.5000 0.5000  4 Br 2.99, 2 Os 3.04
Br: 0.0000 0.7923 0.2077  2 Os 2.61

***

No. 5
The following is a meta-GGA SCAN calculation of ZrReP at its PBEsol-relaxed geometry, from the Alexandria database.

Summary:
**DFT formation energy**: 0.55 eV per atom
**SG**: F-43m

a = 4.3192 Å, b = 4.3192 Å, c = 4.3192 Å
α = 60.00°, β = 60.00°, γ = 60.00°
With the nearest neighbours (Å) after each atom.
Fractional coordinates of all 3 atoms:
P: 0.0000 0.0000 0.0000  4 Zr 2.64
Zr: 0.2500 0.2500 0.2500  4 Re 2.64, 4 P 2.64
Re: 0.5000 0.5000 0.5000  4 Zr 2.64

***

No. 6
The following is a meta-GGA SCAN calculation of SiHg2Sb at its PBEsol-relaxed geometry, from the Alexandria database.

Summary:
**E_form (uncorrected)**: 0.455 eV per atom
**SG**: Cmmm

a = 3.2215 Å, b = 3.2215 Å, c = 9.3694 Å
α = 90.00°, β = 90.00°, γ = 113.40°
With the nearest neighbours (Å) after each atom.
Fractional coordinates of all 4 atoms:
Hg: 0.0000 0.0000 0.7729  2 Si 2.77
Hg: 0.0000 0.0000 0.2271  2 Si 2.77
Sb: 0.5000 0.5000 0.5000  4 Hg 3.11, 4 Sb 3.22
Si: 0.5000 0.5000 0.0000  4 Hg 2.77

***

No. 7
The following is a meta-GGA SCAN calculation of PmHo3 at its PBEsol-relaxed geometry, from the Alexandria database.

Summary:
**DFT formation energy**: 0.02 eV per atom
**SG**: I4/mmm

a = 4.9206 Å, b = 4.9206 Å, c = 6.0247 Å
α = 114.10°, β = 114.10°, γ = 90.00°
With the nearest neighbours (Å) after each atom.
Fractional coordinates of all 4 atoms:
Pm: 0.0000 0.0000 0.0000  12 Ho 3.48
Ho: 0.7500 0.2500 0.5000  8 Ho 3.48, 4 Pm 3.48
Ho: 0.5000 0.5000 0.0000  8 Ho 3.48, 4 Pm 3.48
Ho: 0.2500 0.7500 0.5000  8 Ho 3.48, 4 Pm 3.48

***

No. 8
The following is a meta-GGA SCAN calculation of MnPH7O7 at its PBEsol-relaxed geometry, from the Alexandria database.

Summary:
**Uncorrected energy**: -7.556 eV/atom
**SG**: Pbca

a = 10.0048 Å, b = 10.4757 Å, c = 10.5665 Å
α = 90.00°, β = 90.00°, γ = 90.00°
With the nearest neighbours (Å) after each atom.
Fractional coordinates of all 128 atoms:
O: 0.8177 0.6369 0.3556  1 P 1.55, 2 H 1.67-1.68
O: 0.0398 0.8436 0.4102  2 H 1.00
H: 0.0238 0.8477 0.5032  1 O 1.00
P: 0.1565 0.9916 0.1273  4 O 1.50-1.59
O: 0.2446 0.0907 0.6966  1 P 1.50
H: 0.6368 0.8217 0.0994  1 O 1.00
H: 0.9762 0.1523 0.4968  1 O 1.00
P: 0.6565 0.5084 0.8727  4 O 1.50-1.59
H: 0.0238 0.6523 0.0032  1 O 1.00
O: 0.1731 0.5394 0.4806  1 H 1.05
H: 0.6534 0.6597 0.3309  1 O 1.01
O: 0.1823 0.1369 0.1444  1 P 1.55, 2 H 1.67-1.68
H: 0.7419 0.3341 0.5630  1 O 1.01
O: 0.0086 0.9629 0.1642  1 H 1.46, 1 P 1.56
O: 0.7446 0.0907 0.8034  1 P 1.50
O: 0.3269 0.4606 0.9806  1 H 1.05
H: 0.6534 0.8403 0.8309  1 O 1.01
H: 0.5238 0.8477 0.9968  1 O 1.00
H: 0.1534 0.8403 0.6691  1 O 1.01
O: 0.2554 0.9093 0.1966  1 P 1.50
O: 0.7068 0.2538 0.0826  2 H 1.01
H: 0.5238 0.6523 0.4968  1 O 1.00
H: 0.9672 0.0730 0.2830  1 O 1.00
H: 0.9762 0.3477 0.9968  1 O 1.00
Mn: 0.0858 0.2042 0.7455  6 O 2.05-2.23
O: 0.0086 0.5371 0.6642  1 H 1.46, 1 P 1.56
Mn: 0.4142 0.7042 0.7455  6 O 2.05-2.23
H: 0.2419 0.1659 0.4370  1 O 1.01
O: 0.3269 0.0394 0.4806  1 H 1.05
H: 0.5961 0.5079 0.0794  1 O 1.05
O: 0.9474 0.1552 0.3279  2 H 1.00-1.01
O: 0.1823 0.3631 0.6444  1 P 1.55, 2 H 1.67-1.68
O: 0.5086 0.5371 0.8358  1 H 1.46, 1 P 1.56
H: 0.9039 0.0079 0.0794  1 O 1.05
H: 0.0961 0.9921 0.9206  1 O 1.05
O: 0.4474 0.3448 0.6721  2 H 1.00-1.01
O: 0.0398 0.6564 0.9102  2 H 1.00
H: 0.1368 0.6783 0.9006  1 O 1.00
H: 0.4039 0.4921 0.9206  1 O 1.05
Mn: 0.4142 0.7958 0.2455  6 O 2.05-2.23
P: 0.3435 0.0084 0.6273  4 O 1.50-1.59
H: 0.8466 0.3403 0.8309  1 O 1.01
O: 0.2068 0.2462 0.9174  2 H 1.01
H: 0.2581 0.8341 0.9370  1 O 1.01
H: 0.4039 0.0079 0.4206  1 O 1.05
H: 0.3126 0.7061 0.0022  1 O 1.01
O: 0.6823 0.3631 0.8556  1 P 1.55, 2 H 1.67-1.68
Mn: 0.5858 0.2042 0.7545  6 O 2.05-2.23
H: 0.1368 0.8217 0.4006  1 O 1.00
H: 0.2581 0.6659 0.4370  1 O 1.01
O: 0.3177 0.8631 0.6444  1 P 1.55, 2 H 1.67-1.68
O: 0.5086 0.9629 0.3358  1 H 1.46, 1 P 1.56
H: 0.2419 0.3341 0.9370  1 O 1.01
H: 0.0961 0.5079 0.4206  1 O 1.05
O: 0.2932 0.7462 0.9174  2 H 1.01
H: 0.3126 0.7939 0.5022  1 O 1.01
O: 0.8177 0.8631 0.8556  1 P 1.55, 2 H 1.67-1.68
O: 0.9602 0.1564 0.5898  2 H 1.00
H: 0.0328 0.9270 0.7170  1 O 1.00
H: 0.0328 0.5730 0.2170  1 O 1.00
H: 0.9039 0.4921 0.5794  1 O 1.05
H: 0.3466 0.3403 0.6691  1 O 1.01
O: 0.2932 0.7538 0.4174  2 H 1.01
O: 0.5526 0.8448 0.8279  2 H 1.00-1.01
P: 0.8435 0.4916 0.3727  4 O 1.50-1.59
H: 0.3466 0.1597 0.1691  1 O 1.01
O: 0.6731 0.9606 0.5194  1 H 1.05
H: 0.8632 0.3217 0.0994  1 O 1.00
O: 0.4602 0.1564 0.9102  2 H 1.00
H: 0.8126 0.7061 0.4978  1 O 1.01
O: 0.6823 0.1369 0.3556  1 P 1.55, 2 H 1.67-1.68
O: 0.5398 0.6564 0.5898  2 H 1.00
O: 0.1731 0.9606 0.9806  1 H 1.05
O: 0.4474 0.1552 0.1721  2 H 1.00-1.01
H: 0.7419 0.1659 0.0630  1 O 1.01
H: 0.1874 0.2061 0.0022  1 O 1.01
P: 0.3435 0.4916 0.1273  4 O 1.50-1.59
H: 0.6874 0.2061 0.4978  1 O 1.01
H: 0.8126 0.7939 0.9978  1 O 1.01
H: 0.4672 0.0730 0.2170  1 O 1.00
H: 0.7581 0.8341 0.5630  1 O 1.01
H: 0.4762 0.1523 0.0032  1 O 1.00
Mn: 0.9142 0.7958 0.2545  6 O 2.05-2.23
H: 0.3632 0.1783 0.9006  1 O 1.00
O: 0.9602 0.3436 0.0898  2 H 1.00
O: 0.7446 0.4093 0.3034  1 P 1.50
H: 0.6874 0.2939 0.9978  1 O 1.01
O: 0.2068 0.2538 0.4174  2 H 1.01
O: 0.6731 0.5394 0.0194  1 H 1.05
Mn: 0.9142 0.7042 0.7545  6 O 2.05-2.23
O: 0.0526 0.6552 0.1721  2 H 1.00-1.01
H: 0.5328 0.5730 0.2830  1 O 1.00
O: 0.8269 0.4606 0.5194  1 H 1.05
O: 0.5526 0.6552 0.3279  2 H 1.00-1.01
H: 0.5328 0.9270 0.7830  1 O 1.00
H: 0.9672 0.4270 0.7830  1 O 1.00
O: 0.2446 0.4093 0.1966  1 P 1.50
H: 0.4672 0.4270 0.7170  1 O 1.00
H: 0.4762 0.3477 0.5032  1 O 1.00
Mn: 0.0858 0.2958 0.2455  6 O 2.05-2.23
O: 0.4914 0.0371 0.6642  1 H 1.46, 1 P 1.56
H: 0.8632 0.1783 0.5994  1 O 1.00
O: 0.9914 0.0371 0.8358  1 H 1.46, 1 P 1.56
P: 0.6565 0.9916 0.3727  4 O 1.50-1.59
O: 0.4602 0.3436 0.4102  2 H 1.00
O: 0.7068 0.2462 0.5826  2 H 1.01
O: 0.4914 0.4629 0.1642  1 H 1.46, 1 P 1.56
O: 0.5398 0.8436 0.0898  2 H 1.00
H: 0.5961 0.9921 0.5794  1 O 1.05
O: 0.7932 0.7462 0.5826  2 H 1.01
O: 0.2554 0.5907 0.6966  1 P 1.50
H: 0.7581 0.6659 0.0630  1 O 1.01
O: 0.3177 0.6369 0.1444  1 P 1.55, 2 H 1.67-1.68
H: 0.1534 0.6597 0.1691  1 O 1.01
Mn: 0.5858 0.2958 0.2545  6 O 2.05-2.23
O: 0.7554 0.9093 0.3034  1 P 1.50
P: 0.1565 0.5084 0.6273  4 O 1.50-1.59
O: 0.7554 0.5907 0.8034  1 P 1.50
O: 0.9474 0.3448 0.8279  2 H 1.00-1.01
O: 0.7932 0.7538 0.0826  2 H 1.01
H: 0.3632 0.3217 0.4006  1 O 1.00
H: 0.1874 0.2939 0.5022  1 O 1.01
H: 0.8466 0.1597 0.3309  1 O 1.01
H: 0.6368 0.6783 0.5994  1 O 1.00
P: 0.8435 0.0084 0.8727  4 O 1.50-1.59
O: 0.0526 0.8448 0.6721  2 H 1.00-1.01
O: 0.9914 0.4629 0.3358  1 H 1.46, 1 P 1.56
O: 0.8269 0.0394 0.0194  1 H 1.05

***

No. 9
The following is a meta-GGA SCAN calculation of Y2OF at its PBEsol-relaxed geometry, from the Alexandria database.

Summary:
**E_form (uncorrected)**: -2.753 eV per atom
**SG**: I-42d

a = 5.3730 Å, b = 5.3730 Å, c = 6.5269 Å
α = 114.31°, β = 114.31°, γ = 90.00°
With the nearest neighbours (Å) after each atom.
Fractional coordinates of all 8 atoms:
O: 0.5000 0.5000 0.0000  4 Y 2.24
O: 0.7500 0.2500 0.5000  4 Y 2.24
Y: 0.6250 0.5977 0.7500  2 O 2.24, 2 F 2.41
Y: 0.1250 0.1523 0.7500  2 O 2.24, 2 F 2.41
F: 0.2500 0.7500 0.5000  4 Y 2.41
Y: 0.4023 0.8750 0.2500  2 O 2.24, 2 F 2.41
F: 0.0000 0.0000 0.0000  4 Y 2.41
Y: 0.8477 0.3750 0.2500  2 O 2.24, 2 F 2.41

***

No. 10
The following is a meta-GGA SCAN calculation of SrTl2Cd at its PBEsol-relaxed geometry, from the Alexandria database.

Summary:
**DFT formation energy**: -0.33 eV per atom
**SG**: I4/mmm

a = 5.3373 Å, b = 5.3548 Å, c = 5.3373 Å
α = 119.89°, β = 90.00°, γ = 119.89°
With the nearest neighbours (Å) after each atom.
Fractional coordinates of all 4 atoms:
Tl: 0.2500 0.5000 0.7500  4 Sr 3.28, 4 Cd 3.28
Cd: 0.5000 0.0000 0.5000  8 Tl 3.28
Tl: 0.7500 0.5000 0.2500  4 Cd 3.28, 4 Sr 3.28
Sr: 0.0000 0.0000 0.0000  8 Tl 3.28